Fe2OsCl | SCAN | single point on PBEsol structure

Computed properties:
Its total DFT energy (no corrections) is -112.283 eV per cell. The value obtained for the formation energy from raw total energies is 92 kJ/mol of atoms. The calculation puts the density at 10.37 Mg/m³. Its symmetry is I-4m2, No. 119. The calculation puts the total moment at 7.5 μB/f.u.

abc: 3.586 3.586 4.906
angles: 111.44 111.44 90.00
Each line ends with the local moment (μB).
Fractional positions:
Fe (0.000, 0.000, 0.000)  3.13
Fe (0.750, 0.250, 0.500)  3.12
Cl (0.250, 0.750, 0.500)  0.18
Os (0.500, 0.500, 0.000)  0.93

---

FeOsCl2 | SCAN | single point on PBEsol structure

Computed properties:
Its total DFT energy (no corrections) is -102.917 eV per cell. The value obtained for the formation energy from raw total energies is 74 kJ/mol of atoms. The calculation puts the density at 8.92 Mg/m³. Its symmetry is Cmmm, No. 65. The calculation puts the total moment at 2.1 μB/f.u.

abc: 2.800 2.986 7.990
angles: 90.00 90.00 117.96
Each line ends with the local moment (μB).
Fractional positions:
Cl (0.000, 0.000, 0.260)  0.02
Cl (0.000, 0.000, 0.740)  0.02
Fe (0.500, 0.000, 0.500)  2.98
Os (0.500, 0.000, 0.000)  -0.70